# Rb2MnIrF, relaxed, DFT PBE+U
# Total energy = -3.977 eV per atom
# Spin magnetization = 5.62 μB per cell
data_Rb2MnIrF
_chemical_formula_sum 'Rb2 Mn1 Ir1 F1'
_cell_length_a 5.081
_cell_length_b 5.081
_cell_length_c 5.184
_cell_angle_alpha 90.00
_cell_angle_beta 90.00
_cell_angle_gamma 90.00
_space_group_name_H-M_alt 'P 4/m m m'
_space_group_IT_number 123
_space_group_name_Hall '-P 4 2'
loop_
_atom_site_label
_atom_site_fract_x
_atom_site_fract_y
_atom_site_fract_z
Rb1 0.000 0.500 0.000
Mn1 0.000 0.000 0.500
Ir1 0.500 0.500 0.500
F1 0.000 0.000 0.000